Entry 1:
Compound: RbSiHgTe3
Source: the Alexandria database
Functional: PBE-GGA
Structure: optimized geometry

Cell: 13.0220 8.4635 8.5107 Å, 90.00 104.86 90.00°
Space group C2/m (No. 12)
Unique sites:
Rb  0.1543  0.0000  0.2262 [4 per cell]
Si  0.0103  0.5000  0.8658 [4 per cell]
Hg  0.0000  0.2901  0.5000 [4 per cell]
Te  0.1109  0.2500  0.8229 [8 per cell]
Te  0.1628  0.5000  0.3481 [4 per cell]

Calculated values
Its theoretical density is 5106 kg/m3. The value obtained for the magnetic moment is 0.0 μB/cell. The calculation puts the uncorrected formation energy at -0.3739 eV per atom. The value obtained for the total energy is -18.4 eV per formula unit.

---

Entry 2:
Compound: Rb2SiHg2Te4
Source: the Alexandria database
Functional: PBE-GGA
Structure: optimized geometry

Cell: 13.8142 6.7083 6.6494 Å, 90.00 100.77 90.00°
Space group C2/m (No. 12)
Unique sites:
Rb  0.1402  0.0000  0.2772 [4 per cell]
Si  0.0000  0.5000  0.5000 [2 per cell]
Hg  0.1134  0.5000  0.1919 [4 per cell]
Te  0.1210  0.2461  0.7575 [8 per cell]

Calculated values
Its theoretical density is 6093 kg/m3. The value obtained for the magnetic moment is 0.0 μB/cell. The calculation puts the uncorrected formation energy at -0.2877 eV per atom. The value obtained for the total energy is -23.1 eV per formula unit.

---

Entry 3:
Compound: RbSiHgTe4
Source: the Alexandria database
Functional: PBE-GGA
Structure: optimized geometry

Cell: 7.3895 7.1815 10.9287 Å, 90.00 106.44 90.00°
Space group P2_1/m (No. 11)
Unique sites:
Rb  0.2069  0.2500  0.0353 [2 per cell]
Si  0.2302  0.7500  0.3012 [2 per cell]
Hg  0.2719  0.2500  0.6754 [2 per cell]
Te  0.0016  0.0175  0.2896 [4 per cell]
Te  0.3682  0.7500  0.1149 [2 per cell]
Te  0.4844  0.2500  0.4954 [2 per cell]

Calculated values
Its theoretical density is 4923 kg/m3. The value obtained for the magnetic moment is 0.0 μB/cell. The calculation puts the uncorrected formation energy at -0.2766 eV per atom. The value obtained for the total energy is -21.2 eV per formula unit.

---

Entry 4:
Compound: RbSiHg2Te
Source: the Alexandria database
Functional: PBE-GGA
Structure: optimized geometry

Cell: 5.2822 5.2822 5.7656 Å, 90.00 90.00 90.00°
Space group P4/mmm (No. 123)
Unique sites:
Rb  0.0000  0.0000  0.0000 [1 per cell]
Si  0.5000  0.5000  0.5000 [1 per cell]
Hg  0.0000  0.5000  0.5000 [2 per cell]
Te  0.5000  0.5000  0.0000 [1 per cell]

Calculated values
Its theoretical density is 6630 kg/m3. The value obtained for the magnetic moment is 0.0 μB/cell. The calculation puts the uncorrected formation energy at -0.1529 eV per atom. The value obtained for the total energy is -10.9 eV per formula unit.

---

Entry 5:
Compound: RbSiHgTe2
Source: the Alexandria database
Functional: PBE-GGA
Structure: optimized geometry

Cell: 6.5669 6.5669 6.1261 Å, 90.00 90.00 90.00°
Space group P4/mmm (No. 123)
Unique sites:
Rb  0.0000  0.0000  0.0000 [1 per cell]
Si  0.0000  0.0000  0.5000 [1 per cell]
Hg  0.5000  0.5000  0.5000 [1 per cell]
Te  0.0000  0.5000  0.0000 [2 per cell]

Calculated values
Its theoretical density is 3579 kg/m3. The value obtained for the magnetic moment is 2.1 μB/cell. The calculation puts the uncorrected formation energy at 1.2016 eV per atom. The value obtained for the total energy is -7.0 eV per formula unit.

---

Entry 6:
Compound: Rb2TlSiHg
Source: the Alexandria database
Functional: PBE-GGA
Structure: optimized geometry

Cell: 7.0242 7.0242 5.2099 Å, 90.00 90.00 90.00°
Space group P4/mmm (No. 123)
Unique sites:
Rb  0.0000  0.5000  0.0000 [2 per cell]
Tl  0.0000  0.0000  0.0000 [1 per cell]
Si  0.0000  0.0000  0.5000 [1 per cell]
Hg  0.5000  0.5000  0.5000 [1 per cell]

Calculated values
Its theoretical density is 3902 kg/m3. The value obtained for the magnetic moment is 0.0 μB/cell. The calculation puts the uncorrected formation energy at 0.2391 eV per atom. The value obtained for the total energy is -8.8 eV per formula unit.

---

Entry 7:
Compound: RbSmHg2
Source: the Alexandria database
Functional: PBE-GGA
Structure: optimized geometry

Cell: 3.9142 3.9142 8.6623 Å, 90.00 90.00 90.00°
Space group P4/mmm (No. 123)
Unique sites:
Rb  0.0000  0.0000  0.0000 [1 per cell]
Sm  0.0000  0.0000  0.5000 [1 per cell]
Hg  0.5000  0.5000  0.3048 [2 per cell]

Calculated values
Its theoretical density is 7970 kg/m3. The value obtained for the magnetic moment is 0.0 μB/cell. The value obtained for the formation energy is -0.2671 eV per atom. The value obtained for the total energy is -7.4 eV per formula unit.

---

Entry 8:
Compound: RbSmHg2
Source: the Alexandria database
Functional: PBE-GGA
Structure: optimized geometry

Cell: 4.1809 4.1809 28.8961 Å, 90.00 90.00 120.00°
Space group R-3m (No. 166, hexagonal axes)
Unique sites:
Rb  0.0000  0.0000  0.0000 [3 per cell]
Sm  0.0000  0.0000  0.5000 [3 per cell]
Hg  0.0000  0.0000  0.2355 [6 per cell]

Calculated values
Its theoretical density is 7254 kg/m3. The value obtained for the magnetic moment is 0.0 μB/cell. The value obtained for the formation energy is -0.1475 eV per atom. The value obtained for the total energy is -6.9 eV per formula unit.

---

Entry 9:
Compound: RbSm2HgTe4
Source: the Alexandria database
Functional: PBE-GGA
Structure: optimized geometry

Cell: 4.5442 15.4923 16.8096 Å, 90.00 90.00 90.00°
Space group Cmcm (No. 63)
Unique sites:
Rb  0.0000  0.1291  0.2500 [4 per cell]
Sm  0.0000  0.3769  0.0670 [8 per cell]
Hg  0.0000  0.1792  0.7500 [4 per cell]
Te  0.0000  0.0000  0.0000 [4 per cell]
Te  0.0000  0.2623  0.5942 [8 per cell]
Te  0.0000  0.4450  0.2500 [4 per cell]

Calculated values
Its theoretical density is 6158 kg/m3. The value obtained for the magnetic moment is 0.0 μB/cell. The calculation puts the uncorrected formation energy at -1.0236 eV per atom. The value obtained for the total energy is -31.5 eV per formula unit.

---

Entry 10:
Compound: Rb2SnHg3
Source: the Alexandria database
Functional: PBE-GGA
Structure: optimized geometry

Cell: 12.4845 5.2893 8.9106 Å, 90.00 133.04 90.00°
Space group Cm (No. 8)
Unique sites:
Rb  0.0000  0.0000  0.0000 [2 per cell]
Rb  0.1272  0.0000  0.6416 [2 per cell]
Sn  0.3911  0.0000  0.2251 [2 per cell]
Hg  0.2210  0.5000  0.4182 [2 per cell]
Hg  0.2494  0.5000  0.0800 [2 per cell]
Hg  0.4085  0.0000  0.5951 [2 per cell]

Calculated values
Its theoretical density is 6884 kg/m3. The value obtained for the magnetic moment is 0.0 μB/cell. The value obtained for the formation energy is -0.2410 eV per atom. The value obtained for the total energy is -8.3 eV per formula unit.

---

Entry 11:
Compound: RbSn3Hg2
Source: the Alexandria database
Functional: PBE-GGA
Structure: optimized geometry

Cell: 6.8094 6.8094 4.7665 Å, 90.00 90.00 120.00°
Space group P6/mmm (No. 191)
Unique sites:
Rb  0.0000  0.0000  0.0000 [1 per cell]
Sn  0.0000  0.5000  0.5000 [3 per cell]
Hg  0.3333  0.6667  0.0000 [2 per cell]

Calculated values
Its theoretical density is 7312 kg/m3. The value obtained for the magnetic moment is 0.0 μB/cell. The value obtained for the formation energy is -0.0746 eV per atom. The value obtained for the total energy is -14.0 eV per formula unit.

---

Entry 12:
Compound: RbSn8Hg2
Source: the Alexandria database
Functional: PBE-GGA
Structure: optimized geometry

Cell: 5.2072 5.3232 12.5870 Å, 83.18 83.63 87.18°
Space group P-1 (No. 2)
Unique sites:
Rb  0.0000  0.0000  0.0000 [1 per cell]
Sn  0.0796  0.5614  0.7485 [2 per cell]
Sn  0.0910  0.0978  0.6173 [2 per cell]
Sn  0.4429  0.9231  0.2474 [2 per cell]
Sn  0.4571  0.4586  0.1200 [2 per cell]
Hg  0.3816  0.3794  0.4150 [2 per cell]

Calculated values
Its theoretical density is 6932 kg/m3. The value obtained for the magnetic moment is 0.0 μB/cell. The value obtained for the formation energy is -0.0283 eV per atom. The value obtained for the total energy is -33.9 eV per formula unit.

---

Entry 13:
Compound: Rb3Sn2Hg5
Source: the Alexandria database
Functional: PBE-GGA
Structure: optimized geometry

Cell: 11.7494 16.3991 7.7179 Å, 90.00 90.00 90.00°
Space group Ibam (No. 72)
Unique sites:
Rb  0.0000  0.0000  0.2500 [4 per cell]
Rb  0.2218  0.3733  0.0000 [8 per cell]
Sn  0.1565  0.1536  0.0000 [8 per cell]
Hg  0.0000  0.2228  0.2500 [8 per cell]
Hg  0.0000  0.5000  0.2500 [4 per cell]
Hg  0.0951  0.3580  0.5000 [8 per cell]

Calculated values
Its theoretical density is 6685 kg/m3. The value obtained for the magnetic moment is 0.0 μB/cell. The value obtained for the formation energy is -0.1139 eV per atom. The value obtained for the total energy is -13.6 eV per formula unit.